A geometry-optimized Sc2CdTc structure. Source: the Alexandria database, functional PBE.

Cell lengths 9.270, 9.270, 9.270 Å; angles 20.05, 20.05, 20.05 degrees
Positions (direct):
Sc: 0.238 0.238 0.238
Sc: 0.762 0.762 0.762
Cd: 0.000 0.000 0.000
Tc: 0.500 0.500 0.500

space group: R-3m (166)
calculated formation energy: -0.0941 eV per atom

A geometry-optimized GeAuNO2 structure. Source: the Alexandria database, functional PBE.

Cell lengths 4.260, 4.260, 3.807 Å; angles 90.00, 90.00, 90.00 degrees
Positions (direct):
Ge: 0.000 0.000 0.000
Au: 0.500 0.500 0.500
N: 0.500 0.500 0.000
O: 0.000 0.500 0.500
O: 0.500 0.000 0.500

formation energy without anion corrections: 0.8883 eV/atom
space group: P4/mmm (123)